No. 1
LiThAg: relaxed, PBE.

Unit cell a=4.8396 b=4.8396 c=3.3777 alpha=90.00 beta=90.00 gamma=120.00
Fractional coordinates of all 3 atoms:
Li 0.0000 0.0000 0.0000
Th 0.6667 0.3333 0.5000
Ag 0.3333 0.6667 0.0000

Properties
**Space group**: P-6m2 (187)
**Energy of formation**: -0.010 eV per atom

=====

No. 2
ZnHgS2: relaxed, PBE.

Unit cell a=7.4991 b=7.4991 c=7.4991 alpha=30.03 beta=30.03 gamma=30.03
Fractional coordinates of all 4 atoms:
Zn 0.0000 0.0000 0.0000
Hg 0.5000 0.5000 0.5000
S 0.3903 0.3903 0.3903
S 0.6097 0.6097 0.6097

Properties
**Space group**: R-3m (166)
**Energy relative to the elements, uncorrected**: -273 meV per atom

=====

No. 3
ZrTaNb2C4: relaxed, PBE.

Unit cell a=5.5746 b=3.2151 c=5.5756 alpha=90.00 beta=109.65 gamma=90.00
Fractional coordinates of all 8 atoms:
Zr 0.0000 0.0000 0.0000
Ta 0.0000 0.5000 0.5000
Nb 0.5000 0.0000 0.5000
Nb 0.5000 0.5000 0.0000
C 0.2495 0.0000 0.7431
C 0.2548 0.5000 0.2586
C 0.7452 0.5000 0.7414
C 0.7505 0.0000 0.2569

Properties
**Space group**: P2/m (10)
**Energy of formation**: -0.597 eV per atom

=====

No. 4
MgCd2Fe: relaxed, PBE.

Unit cell a=3.0187 b=3.0187 c=8.1769 alpha=90.00 beta=90.00 gamma=90.11
Fractional coordinates of all 4 atoms:
Mg 0.0000 0.0000 0.0000
Cd 0.5000 0.5000 0.2735
Cd 0.5000 0.5000 0.7265
Fe 0.0000 0.0000 0.5000

Properties
**Space group**: Cmmm (65)
**Energy of formation**: 0.177 eV per atom

=====

No. 5
K2AgPb: relaxed, PBE.

Unit cell a=6.5888 b=6.5888 c=6.5888 alpha=136.77 beta=136.50 gamma=63.00
Fractional coordinates of all 4 atoms:
K 0.2490 0.2490 0.0000
K 0.7510 0.7510 0.0000
Ag 0.0000 0.5000 0.5000
Pb 0.5000 0.0000 0.5000

Properties
**Space group**: Immm (71)
**Energy of formation**: 0.075 eV per atom

=====

No. 6
GdMgCdIn: relaxed, PBE.

Unit cell a=5.1713 b=5.1713 c=5.1713 alpha=60.00 beta=60.00 gamma=60.00
Fractional coordinates of all 4 atoms:
Gd 0.0000 0.0000 0.0000
Mg 0.5000 0.5000 0.5000
Cd 0.7500 0.7500 0.7500
In 0.2500 0.2500 0.2500

Properties
**Space group**: F-43m (216)
**Energy of formation**: -0.338 eV per atom

=====

No. 7
ZrMnNbRu: relaxed, PBE.

Unit cell a=3.1674 b=3.1674 c=6.4008 alpha=90.00 beta=90.00 gamma=90.00
Fractional coordinates of all 4 atoms:
Zr 0.0000 0.0000 0.0000
Mn 0.5000 0.5000 0.7441
Nb 0.0000 0.0000 0.5174
Ru 0.5000 0.5000 0.2673

Properties
**Space group**: P4mm (99)
**Energy of formation**: -0.292 eV per atom

=====

No. 8
Ca2TlCd2: relaxed, PBE.

Unit cell a=6.4610 b=6.4610 c=10.1193 alpha=110.77 beta=110.77 gamma=47.05
Fractional coordinates of all 10 atoms:
Ca 0.0907 0.0907 0.3778
Ca 0.1682 0.1682 0.0487
Ca 0.8318 0.8318 0.9513
Ca 0.9093 0.9093 0.6222
Tl 0.2424 0.2424 0.7389
Tl 0.7576 0.7576 0.2611
Cd 0.3865 0.3865 0.3798
Cd 0.4788 0.4788 0.1373
Cd 0.5212 0.5212 0.8627
Cd 0.6135 0.6135 0.6202

Properties
**Space group**: C2/m (12)
**Energy of formation**: -0.293 eV per atom

=====

No. 9
Cs2ZnGaF6: relaxed, PBE.

Unit cell a=5.9833 b=5.9833 c=5.9833 alpha=120.06 beta=120.06 gamma=89.89
Fractional coordinates of all 10 atoms:
Cs 0.2500 0.7500 0.5000
Cs 0.7500 0.2500 0.5000
Zn 0.0000 0.0000 0.0000
Ga 0.5000 0.5000 0.0000
F 0.2463 0.2463 0.4927
F 0.2463 0.7537 0.0000
F 0.2468 0.2468 0.0000
F 0.7532 0.7532 0.0000
F 0.7537 0.2463 0.0000
F 0.7537 0.7537 0.5073

Properties
**Space group**: I4/mmm (139)
**Energy relative to the elements, uncorrected**: -2369 meV per atom

=====

No. 10
Mg3SbC: relaxed, PBE.

Unit cell a=4.4818 b=4.4818 c=4.4818 alpha=90.00 beta=90.00 gamma=90.00
Fractional coordinates of all 5 atoms:
Mg 0.0000 0.0000 0.5000
Mg 0.0000 0.5000 0.0000
Mg 0.5000 0.0000 0.0000
Sb 0.5000 0.5000 0.5000
C 0.0000 0.0000 0.0000

Properties
**Space group**: Pm-3m (221)
**Energy relative to the elements, uncorrected**: -10 meV per atom

=====

No. 11
Rb2HoHg2Se4: relaxed, PBE.

Unit cell a=8.6286 b=8.6286 c=8.5791 alpha=112.58 beta=112.58 gamma=28.34
Fractional coordinates of all 9 atoms:
Rb 0.1269 0.1269 0.0698
Rb 0.8731 0.8731 0.9302
Ho 0.0000 0.0000 0.5000
Hg 0.3107 0.3107 0.4811
Hg 0.6893 0.6893 0.5189
Se 0.1830 0.1830 0.7240
Se 0.4795 0.4795 0.7170
Se 0.5205 0.5205 0.2830
Se 0.8170 0.8170 0.2760

Properties
**Space group**: C2/m (12)
**Energy relative to the elements, uncorrected**: -971 meV per atom

=====

No. 12
Th2Ga8Ag: relaxed, PBE.

Unit cell a=4.4857 b=4.4857 c=11.5469 alpha=90.00 beta=90.00 gamma=90.00
Fractional coordinates of all 11 atoms:
Th 0.0000 0.0000 0.1866
Th 0.0000 0.0000 0.8134
Ga 0.0000 0.5000 0.0000
Ga 0.0000 0.5000 0.3716
Ga 0.0000 0.5000 0.6284
Ga 0.5000 0.0000 0.0000
Ga 0.5000 0.0000 0.3716
Ga 0.5000 0.0000 0.6284
Ga 0.5000 0.5000 0.1883
Ga 0.5000 0.5000 0.8117
Ag 0.0000 0.0000 0.5000

Properties
**Space group**: P4/mmm (123)
**Energy of formation**: -0.334 eV per atom

=====

No. 13
AgS2BrN: relaxed, PBE.

Unit cell a=5.0622 b=5.0622 c=3.7447 alpha=90.00 beta=90.00 gamma=90.00
Fractional coordinates of all 5 atoms:
Ag 0.0000 0.0000 0.0000
S 0.0000 0.5000 0.5000
S 0.5000 0.0000 0.5000
Br 0.5000 0.5000 0.5000
N 0.5000 0.5000 0.0000

Properties
**Space group**: P4/mmm (123)
**Energy relative to the elements, uncorrected**: 1588 meV per atom

=====

No. 14
Sr2ThPaP4: relaxed, PBE.

Unit cell a=7.2538 b=4.1934 c=7.3631 alpha=90.00 beta=109.15 gamma=90.00
Fractional coordinates of all 8 atoms:
Sr 0.0000 0.0000 0.0000
Sr 0.5000 0.5000 0.0000
Th 0.0000 0.5000 0.5000
Pa 0.5000 0.0000 0.5000
P 0.2514 0.0000 0.7214
P 0.2711 0.5000 0.2834
P 0.7289 0.5000 0.7166
P 0.7486 0.0000 0.2786

Properties
**Space group**: P2/m (10)
**Energy of formation**: -1.305 eV per atom

=====

No. 15
Ho6Cd5Pt: relaxed, PBE.

Unit cell a=8.9715 b=8.9715 c=5.1606 alpha=106.57 beta=106.57 gamma=49.18
Fractional coordinates of all 12 atoms:
Ho 0.0779 0.6080 0.3433
Ho 0.2263 0.7737 0.0000
Ho 0.3920 0.9221 0.6567
Ho 0.6080 0.0779 0.3433
Ho 0.7737 0.2263 0.0000
Ho 0.9221 0.3920 0.6567
Cd 0.1842 0.1842 0.1838
Cd 0.3336 0.3336 0.8340
Cd 0.5000 0.5000 0.5000
Cd 0.6664 0.6664 0.1660
Cd 0.8158 0.8158 0.8162
Pt 0.0000 0.0000 0.5000

Properties
**Space group**: C2/m (12)
**Energy of formation**: -0.484 eV per atom

=====

No. 16
CeZn12Co6: relaxed, PBE.

Unit cell a=6.8353 b=6.8353 c=6.8353 alpha=103.71 beta=103.71 gamma=103.71
Fractional coordinates of all 19 atoms:
Ce 0.0000 0.0000 0.0000
Zn 0.1139 0.5000 0.8861
Zn 0.1139 0.8861 0.5000
Zn 0.1509 0.4135 0.4135
Zn 0.4135 0.1509 0.4135
Zn 0.4135 0.4135 0.1509
Zn 0.5000 0.1139 0.8861
Zn 0.5000 0.8861 0.1139
Zn 0.5865 0.5865 0.8491
Zn 0.5865 0.8491 0.5865
Zn 0.8491 0.5865 0.5865
Zn 0.8861 0.1139 0.5000
Zn 0.8861 0.5000 0.1139
Co 0.2677 0.2677 0.7022
Co 0.2677 0.7022 0.2677
Co 0.2978 0.7323 0.7323
Co 0.7022 0.2677 0.2677
Co 0.7323 0.2978 0.7323
Co 0.7323 0.7323 0.2978

Properties
**Space group**: R-3m (166)
**Energy of formation**: 0.114 eV per atom

=====

No. 17
MgGa2Ag2: relaxed, PBE.

Unit cell a=6.7327 b=6.7327 c=6.7327 alpha=145.27 beta=145.27 gamma=49.93
Fractional coordinates of all 5 atoms:
Mg 0.0000 0.0000 0.0000
Ga 0.3991 0.3991 0.0000
Ga 0.6009 0.6009 0.0000
Ag 0.2500 0.7500 0.5000
Ag 0.7500 0.2500 0.5000

Properties
**Space group**: I4/mmm (139)
**Energy of formation**: 0.016 eV per atom

=====

No. 18
Na3MnCu: relaxed, PBE.

Unit cell a=5.3665 b=5.3665 c=5.3665 alpha=90.00 beta=90.00 gamma=90.00
Fractional coordinates of all 5 atoms:
Na 0.0000 0.0000 0.5000
Na 0.0000 0.5000 0.0000
Na 0.5000 0.0000 0.0000
Mn 0.5000 0.5000 0.5000
Cu 0.0000 0.0000 0.0000

Properties
**Space group**: Pm-3m (221)
**Energy of formation**: 0.753 eV per atom

=====

No. 19
Tl7InSe6: relaxed, PBE.

Unit cell a=12.2446 b=12.2446 c=12.2446 alpha=144.36 beta=113.34 gamma=77.94
Fractional coordinates of all 28 atoms:
Tl 0.0439 0.2587 0.3026
Tl 0.0861 0.5298 0.8375
Tl 0.1923 0.0298 0.4437
Tl 0.2500 0.2500 0.0000
Tl 0.3077 0.7514 0.8375
Tl 0.4139 0.2514 0.4437
Tl 0.4561 0.7587 0.2148
Tl 0.5439 0.2413 0.7852
Tl 0.5861 0.7486 0.5563
Tl 0.6923 0.2486 0.1625
Tl 0.7500 0.7500 0.0000
Tl 0.8077 0.9702 0.5563
Tl 0.9139 0.4702 0.1625
Tl 0.9561 0.7413 0.6974
In 0.2500 0.7500 0.5000
In 0.7500 0.2500 0.5000
Se 0.0782 0.9114 0.6438
Se 0.1751 0.9360 0.1112
Se 0.2324 0.5886 0.1668
Se 0.2676 0.4345 0.3562
Se 0.3249 0.4360 0.7609
Se 0.4218 0.0655 0.8332
Se 0.5782 0.9345 0.1668
Se 0.6751 0.5640 0.2391
Se 0.7324 0.5655 0.6438
Se 0.7676 0.4114 0.8332
Se 0.8249 0.0640 0.8888
Se 0.9218 0.0886 0.3562

Properties
**Space group**: Ibam (72)
**Energy relative to the elements, uncorrected**: -369 meV per atom

=====

No. 20
Sc2FeHg: relaxed, PBE.

Unit cell a=9.6809 b=9.6809 c=9.6809 alpha=19.29 beta=19.29 gamma=19.29
Fractional coordinates of all 4 atoms:
Sc 0.1061 0.1061 0.1061
Sc 0.8939 0.8939 0.8939
Fe 0.5000 0.5000 0.5000
Hg 0.0000 0.0000 0.0000

Properties
**Space group**: R-3m (166)
**Energy of formation**: 0.156 eV per atom

=====

V (Å³ per atom)
22.8 23.4 11.8 18.6 33.3 24.4 16.1 28.5 15.1 18.0 30.9 21.1 19.2 26.4 24.9 15.1 19.7 30.9 34.3 21.6